<one>
## HgMoPCl2 (PBE)

Data for a geometry-optimized HgMoPCl2 structure.

a = 5.2422 Å, b = 5.2422 Å, c = 5.0599 Å
α = 90.00°, β = 90.00°, γ = 90.00°
Closest atoms and distances in Å follow each position.
Element x y z (fractional)
1 Hg 0.0000 0.0000 0.0000  2 P 2.53, 4 Cl 2.62
2 Mo 0.5000 0.5000 0.5000  8 Cl 3.64, 4 P 3.71
3 P 0.0000 0.0000 0.5000  2 Hg 2.53
4 Cl 0.0000 0.5000 0.0000  2 Hg 2.62
5 Cl 0.5000 0.0000 0.0000  2 Hg 2.62

Properties
The space-group type is P4/mmm (123). The density of states at the Fermi level is 1.95 states/eV/cell. As for the spin magnetization: 3.3 μB per formula unit.

<two>
## HgMoPCl2 (PBE)

Data for a geometry-optimized HgMoPCl2 structure.

a = 4.9102 Å, b = 4.9102 Å, c = 4.7675 Å
α = 90.00°, β = 90.00°, γ = 90.00°
Closest atoms and distances in Å follow each position.
Element x y z (fractional)
1 Hg 0.0000 0.0000 0.0000  8 Cl 3.42, 4 P 3.47
2 Mo 0.5000 0.5000 0.5000  2 P 2.38, 4 Cl 2.46
3 P 0.5000 0.5000 0.0000  2 Mo 2.38
4 Cl 0.0000 0.5000 0.5000  2 Mo 2.46
5 Cl 0.5000 0.0000 0.5000  2 Mo 2.46

Properties
The space-group type is P4/mmm (123). The density of states at the Fermi level is 2.52 states/eV/cell. As for the spin magnetization: 0.5 μB per formula unit.

Short version: <two> is the most stable of them.

<one>
## HgMoP2Cl (PBE)

Data for a geometry-optimized HgMoP2Cl structure.

a = 4.6953 Å, b = 4.6953 Å, c = 5.0775 Å
α = 90.00°, β = 90.00°, γ = 90.00°
Closest atoms and distances in Å follow each position.
Element x y z (fractional)
1 Hg 0.0000 0.0000 0.0000  4 Cl 3.32, 8 P 3.46
2 Mo 0.5000 0.5000 0.5000  4 P 2.35, 2 Cl 2.54
3 P 0.0000 0.5000 0.5000  2 Mo 2.35
4 P 0.5000 0.0000 0.5000  2 Mo 2.35
5 Cl 0.5000 0.5000 0.0000  2 Mo 2.54

Properties
The space-group type is P4/mmm (123). The density of states at the Fermi level is 2.98 states/eV/cell. As for the spin magnetization: 0.0 μB per formula unit.

<two>
## HgMoP2Cl (PBE)

Data for a geometry-optimized HgMoP2Cl structure.

a = 4.9417 Å, b = 4.9417 Å, c = 5.2586 Å
α = 90.00°, β = 90.00°, γ = 90.00°
Closest atoms and distances in Å follow each position.
Element x y z (fractional)
1 Hg 0.0000 0.0000 0.0000  4 P 2.47, 2 Cl 2.63
2 Mo 0.5000 0.5000 0.5000  4 Cl 3.49, 8 P 3.61
3 P 0.0000 0.5000 0.0000  2 Hg 2.47
4 P 0.5000 0.0000 0.0000  2 Hg 2.47
5 Cl 0.0000 0.0000 0.5000  2 Hg 2.63

Properties
The space-group type is P4/mmm (123). The density of states at the Fermi level is 3.47 states/eV/cell. As for the spin magnetization: 2.9 μB per formula unit.

Short version: <one> is the most stable of them.